Entry 1:
Compound: CsTiRh3
Source: Alexandria via LeMat-Bulk
Functional: PBEsol
Structure: relaxed

Cell: 4.8029 4.8029 4.8029 Å, 90.00 90.00 90.00°
Fractional positions:
Cs1 0.0000 0.0000 0.0000
Ti1 0.5000 0.5000 0.5000
Rh1 0.0000 0.0000 0.5000
Rh2 0.0000 0.5000 0.0000
Rh3 0.5000 0.0000 0.0000

Summary:
The density of states at the Fermi level comes out at 5.99 states/eV/cell. The spin magnetization is 1.58 μB/f.u. For the formation energy, the calculation gives 2117 meV/atom.



Entry 2:
Compound: Cs3TlRh
Source: Alexandria via LeMat-Bulk
Functional: PBEsol
Structure: relaxed

Cell: 5.9547 5.9547 5.9547 Å, 90.00 90.00 90.00°
Fractional positions:
Cs1 0.0000 0.0000 0.5000
Cs2 0.0000 0.5000 0.0000
Cs3 0.5000 0.0000 0.0000
Tl1 0.5000 0.5000 0.5000
Rh1 0.0000 0.0000 0.0000

Summary:
The density of states at the Fermi level comes out at 4.88 states/eV/cell. The spin magnetization is 0.83 μB/f.u. For the formation energy, the calculation gives 516 meV/atom.



Entry 3:
Compound: Cs2YRh2
Source: Alexandria via LeMat-Bulk
Functional: PBEsol
Structure: relaxed

Cell: 7.7355 7.7355 7.7355 Å, 146.88 146.88 47.55°
Fractional positions:
Cs1 0.2500 0.7500 0.5000
Cs2 0.7500 0.2500 0.5000
Y1 0.0000 0.0000 0.0000
Rh1 0.4153 0.4153 0.0000
Rh2 0.5847 0.5847 0.0000

Summary:
The density of states at the Fermi level comes out at 4.64 states/eV/cell. The spin magnetization is 0.00 μB/f.u. For the formation energy, the calculation gives 785 meV/atom.